# TlCdWI2

A relaxed TlCdWI2 crystal (GGA-PBE, Alexandria).

Cell: 6.0774 6.0774 5.5462 Å, 90.00 90.00 90.00°
Sites, in units of the cell vectors:
Tl 0.0000 0.0000 0.0000
Cd 0.5000 0.5000 0.5000
W 0.5000 0.5000 0.0000
I 0.0000 0.5000 0.5000
I 0.5000 0.0000 0.5000

Computed properties:
formation energy from raw total energies = 1.06 eV/atom
magnetization = 5.02 μB/f.u.
symmetry = No. 123